Record 1
Computed, not measured: a relaxed YReAu crystal at the PBE level of DFT.

The structure in POSCAR format:
```
YReAu
1.0
4.5320 0.0000 0.0000
-2.2660 3.9248 0.0000
0.0000 0.0000 3.5292
Y Re Au
1 1 1
direct
0.0000 0.0000 0.0000 Y
0.3333 0.6667 0.5000 Re
0.6667 0.3333 0.5000 Au
```

Computed properties:
Theoretical density in g/cm3: 12.487
D(E_F) in states/eV per atom: 0.7119
Symmetry: P-6m2
ΔH_f (0 K) in meV per atom: 181
Total magnetization in μB per formula unit: 0.00
Energy relative to the lowest polymorph listed for this composition in eV per formula unit: 0.00

Record 2
Computed, not measured: a relaxed KAlOs2 crystal at the PBE level of DFT.

The structure in POSCAR format:
```
KAlOs2
1.0
2.5931 0.0000 0.0000
0.0000 3.9218 0.0000
0.0000 0.0000 7.9640
K Al Os
1 1 2
direct
0.0000 0.0000 0.0000 K
0.0000 0.0000 0.5000 Al
0.5000 0.5000 0.3373 Os
0.5000 0.5000 0.6627 Os
```

Computed properties:
Theoretical density in g/cm3: 9.156
D(E_F) in states/eV per atom: 0.8725
Symmetry: Pmmm
ΔH_f (0 K) in meV per atom: 715
Total magnetization in μB per formula unit: 0.00

Record 3
Computed, not measured: a relaxed TbCe3Ru3 crystal at the PBE level of DFT.

The structure in POSCAR format:
```
TbCe3Ru3
1.0
4.1727 -5.4457 0.0000
4.1727 5.4457 0.0000
-0.0225 0.0000 7.3239
Tb Ce Ru
2 6 6
direct
0.2305 0.2305 0.3682 Tb
0.7695 0.7695 0.6318 Tb
0.1834 0.8166 0.0000 Ce
0.2561 0.7439 0.5000 Ce
0.3710 0.3710 0.8591 Ce
0.6290 0.6290 0.1409 Ce
0.7439 0.2561 0.5000 Ce
0.8166 0.1834 0.0000 Ce
0.0651 0.5540 0.2376 Ru
0.1050 0.1050 0.7267 Ru
0.4460 0.9349 0.7624 Ru
0.5540 0.0651 0.2376 Ru
0.8950 0.8950 0.2733 Ru
0.9349 0.4460 0.7624 Ru
```

Computed properties:
Theoretical density in g/cm3: 8.805
D(E_F) in states/eV per atom: 1.2192
Symmetry: C2/m
ΔH_f (0 K) in meV per atom: -278
Total magnetization in μB per formula unit: 0.33

Record 4
Computed, not measured: a relaxed AcPr6Dy2Tm crystal at the PBE level of DFT.

The structure in POSCAR format:
```
AcPr6Dy2Tm
1.0
4.7316 -7.8030 0.0000
4.7316 7.8030 0.0000
-0.9773 0.0000 9.7244
Ac Pr Dy Tm
2 12 4 2
direct
0.0266 0.9734 0.7500 Ac
0.9734 0.0266 0.2500 Ac
0.0050 0.5571 0.6877 Pr
0.1255 0.7578 0.0537 Pr
0.2422 0.8745 0.4463 Pr
0.2897 0.5087 0.8835 Pr
0.4429 0.9950 0.8123 Pr
0.4913 0.7103 0.6165 Pr
0.5087 0.2897 0.3835 Pr
0.5571 0.0050 0.1877 Pr
0.7103 0.4913 0.1165 Pr
0.7578 0.1255 0.5537 Pr
0.8745 0.2422 0.9463 Pr
0.9950 0.4429 0.3123 Pr
0.2060 0.3153 0.5477 Dy
0.3153 0.2060 0.0477 Dy
0.6847 0.7940 0.9523 Dy
0.7940 0.6847 0.4523 Dy
0.4142 0.5858 0.2500 Tm
0.5858 0.4142 0.7500 Tm
```

Computed properties:
Theoretical density in g/cm3: 7.245
D(E_F) in states/eV per atom: 1.4440
Symmetry: C2/c
ΔH_f (0 K) in meV per atom: 118
Total magnetization in μB per formula unit: 0.00

Record 5
Computed, not measured: a relaxed Zr4GaCo2 crystal at the PBE level of DFT.

The structure in POSCAR format:
```
Zr4GaCo2
1.0
2.1434 1.2375 8.6250
-2.1434 1.2375 8.6250
0.0000 -2.4750 8.6250
Zr Ga Co
4 1 2
direct
0.1163 0.1163 0.1163 Zr
0.2968 0.2968 0.2968 Zr
0.7032 0.7032 0.7032 Zr
0.8837 0.8837 0.8837 Zr
0.5000 0.5000 0.5000 Ga
0.4021 0.4021 0.4021 Co
0.5979 0.5979 0.5979 Co
```

Computed properties:
Theoretical density in g/cm3: 6.684
D(E_F) in states/eV per atom: 0.9353
Symmetry: R-3m
ΔH_f (0 K) in meV per atom: -150
Total magnetization in μB per formula unit: 0.00

Record 6
Computed, not measured: a relaxed TmHIr crystal at the PBE level of DFT.

The structure in POSCAR format:
```
TmHIr
1.0
3.8807 0.0000 0.0000
-1.9404 3.3608 0.0000
0.0000 0.0000 3.4376
Tm H Ir
1 1 1
direct
0.0000 0.0000 0.0000 Tm
0.6667 0.3333 0.5000 H
0.3333 0.6667 0.5000 Ir
```

Computed properties:
Theoretical density in g/cm3: 13.413
D(E_F) in states/eV per atom: 0.4943
Symmetry: P-6m2
Total magnetization in μB per formula unit: 0.00
Energy relative to the lowest polymorph listed for this composition in eV per formula unit: 1.06

Record 7
Computed, not measured: a relaxed InCoRu2 crystal at the PBE level of DFT.

The structure in POSCAR format:
```
InCoRu2
1.0
3.8516 0.0000 0.0000
0.0000 3.8516 0.0000
0.0000 0.0000 7.8710
In Co Ru
2 2 4
direct
0.0000 0.0000 0.0000 In
0.5000 0.5000 0.5000 In
0.0000 0.0000 0.5000 Co
0.5000 0.5000 0.0000 Co
0.0000 0.5000 0.2500 Ru
0.0000 0.5000 0.7500 Ru
0.5000 0.0000 0.2500 Ru
0.5000 0.0000 0.7500 Ru
```

Computed properties:
Theoretical density in g/cm3: 10.691
D(E_F) in states/eV per atom: 1.3997
Symmetry: I4/mmm
ΔH_f (0 K) in meV per atom: 310
Total magnetization in μB per formula unit: 0.00

Record 8
Computed, not measured: a relaxed Pr5CdTe4 crystal at the PBE level of DFT.

The structure in POSCAR format:
```
Pr5CdTe4
1.0
-5.0614 5.0614 3.2037
5.0614 -5.0614 3.2037
5.0614 5.0614 -3.2037
Pr Cd Te
5 1 4
direct
0.0000 0.0000 0.0000 Pr
0.2016 0.4006 0.6007 Pr
0.4006 0.8000 0.1990 Pr
0.6009 0.2016 0.8010 Pr
0.8000 0.6009 0.3993 Pr
0.4999 0.4999 0.0000 Cd
0.0993 0.6998 0.7975 Te
0.3018 0.0993 0.3995 Te
0.6998 0.9023 0.6005 Te
0.9023 0.3018 0.2025 Te
```

Computed properties:
Theoretical density in g/cm3: 6.714
Formation energy from raw total energies in eV per atom: -1.2205
D(E_F) in states/eV per atom: 0.4302
Symmetry: I4
Total magnetization in μB per formula unit: 0.00

Record 9
Computed, not measured: a relaxed K2YGaTe4 crystal at the PBE level of DFT.

The structure in POSCAR format:
```
K2YGaTe4
1.0
8.7350 0.0000 0.0000
0.0000 8.7350 0.0000
0.0000 0.0000 7.4163
K Y Ga Te
4 2 2 8
direct
0.0000 0.5000 0.0000 K
0.0000 0.5000 0.5000 K
0.5000 0.0000 0.0000 K
0.5000 0.0000 0.5000 K
0.0000 0.0000 0.0000 Y
0.5000 0.5000 0.5000 Y
0.0000 0.0000 0.5000 Ga
0.5000 0.5000 0.0000 Ga
0.1737 0.1737 0.2795 Te
0.1737 0.8263 0.7205 Te
0.3263 0.3263 0.7795 Te
0.3263 0.6737 0.2205 Te
0.6737 0.3263 0.2205 Te
0.6737 0.6737 0.7795 Te
0.8263 0.1737 0.7205 Te
0.8263 0.8263 0.2795 Te
```

Computed properties:
Theoretical density in g/cm3: 4.385
Formation energy from raw total energies in eV per atom: -0.9585
D(E_F) in states/eV per atom: 0.0000
Symmetry: I-42m
Total magnetization in μB per formula unit: 0.00

Record 10
Computed, not measured: a relaxed Sr2HBr2 crystal at the PBE level of DFT.

The structure in POSCAR format:
```
Sr2HBr2
1.0
5.2093 0.0000 0.0000
0.0000 5.2093 0.0000
0.0000 0.0000 14.1914
Sr H Br
2 1 2
direct
0.0000 0.0000 0.1634 Sr
0.0000 0.0000 0.8366 Sr
0.0000 0.0000 0.0000 H
0.0000 0.0000 0.3533 Br
0.0000 0.0000 0.6467 Br
```

Computed properties:
VASP energy in eV for the cell shown: -12.6
Theoretical density in g/cm3: 1.449
D(E_F) in states/eV per atom: 0.5663
Symmetry: P4/mmm
Total magnetization in μB per formula unit: 0.00

Record 11
Computed, not measured: a relaxed Tb3Ga2Si4 crystal at the PBE level of DFT.

The structure in POSCAR format:
```
Tb3Ga2Si4
1.0
5.4270 -2.0194 0.0000
5.4270 2.0194 0.0000
-3.1289 0.0000 8.1004
Tb Ga Si
3 2 4
direct
0.0000 0.0000 0.0000 Tb
0.3759 0.3759 0.3037 Tb
0.6241 0.6241 0.6963 Tb
0.3319 0.3319 0.6866 Ga
0.6681 0.6681 0.3134 Ga
0.0895 0.0895 0.4143 Si
0.2786 0.2786 0.9461 Si
0.7214 0.7214 0.0539 Si
0.9105 0.9105 0.5857 Si
```

Computed properties:
Theoretical density in g/cm3: 6.814
Formation energy from raw total energies in eV per atom: -0.5590
D(E_F) in states/eV per atom: 0.3900
Symmetry: C2/m
Total magnetization in μB per formula unit: 0.00
Energy relative to the lowest polymorph listed for this composition in eV per formula unit: 0.36

Record 12
Computed, not measured: a relaxed TbY14Sc crystal at the PBE level of DFT.

The structure in POSCAR format:
```
TbY14Sc
1.0
7.1103 0.0000 0.0000
0.0000 7.1103 0.0000
0.0000 0.0000 10.0225
Tb Y Sc
1 14 1
direct
0.0000 0.0000 0.0000 Tb
0.0000 0.0000 0.5000 Y
0.0000 0.5000 0.0000 Y
0.0000 0.5000 0.5000 Y
0.2516 0.2516 0.2470 Y
0.2516 0.2516 0.7530 Y
0.2516 0.7484 0.2470 Y
0.2516 0.7484 0.7530 Y
0.5000 0.0000 0.0000 Y
0.5000 0.0000 0.5000 Y
0.5000 0.5000 0.5000 Y
0.7484 0.2516 0.2470 Y
0.7484 0.2516 0.7530 Y
0.7484 0.7484 0.2470 Y
0.7484 0.7484 0.7530 Y
0.5000 0.5000 0.0000 Sc
```

Computed properties:
Theoretical density in g/cm3: 4.747
D(E_F) in states/eV per atom: 1.3994
Symmetry: P4/mmm
ΔH_f (0 K) in meV per atom: 30
Total magnetization in μB per formula unit: 0.00